(1)
A relaxed structure of HoZnInTe3. Source: OQMD via LeMat-Bulk, functional GGA-PBE.

E above lowest polymorph	114.4	meV per atom
electronic total energy	-0.13453	hartree per atom

Lattice parameters (Å, degrees): 9.001 4.590 17.570 90.00 90.00 90.00
Atoms (fractional coordinates):
Ho 0.247 0.250 0.044
Ho 0.253 0.750 0.544
Ho 0.747 0.250 0.456
Ho 0.753 0.750 0.956
Zn 0.134 0.250 0.357
Zn 0.366 0.750 0.857
Zn 0.634 0.250 0.143
Zn 0.866 0.750 0.643
In 0.073 0.250 0.784
In 0.427 0.750 0.284
In 0.573 0.250 0.716
In 0.927 0.750 0.216
Te 0.001 0.250 0.589
Te 0.124 0.750 0.946
Te 0.195 0.250 0.211
Te 0.305 0.750 0.711
Te 0.376 0.250 0.446
Te 0.499 0.750 0.089
Te 0.501 0.250 0.911
Te 0.624 0.750 0.554
Te 0.695 0.250 0.289
Te 0.805 0.750 0.789
Te 0.876 0.250 0.054
Te 0.999 0.750 0.411



(2)
A relaxed structure of SmZr2. Source: OQMD via LeMat-Bulk, functional GGA-PBE.

E above lowest polymorph	1023.9	meV per atom
electronic total energy	-0.22680	hartree per atom
formation energy from the elements	3.29	eV/f.u.

Lattice parameters (Å, degrees): 4.974 4.974 4.974 60.00 60.00 60.00
Atoms (fractional coordinates):
Sm 0.000 0.000 0.000
Zr 0.250 0.250 0.250
Zr 0.750 0.750 0.750



(3)
A relaxed structure of ZnAg15. Source: OQMD via LeMat-Bulk, functional GGA-PBE.

E above lowest polymorph	2.4	meV per atom
electronic total energy	-0.09842	hartree per atom
formation energy from the elements	0.78	eV/f.u.

Lattice parameters (Å, degrees): 8.264 46.558 4.125 90.00 90.00 90.00
Atoms (fractional coordinates):
Zn 0.129 0.168 0.000
Zn 0.129 0.832 0.500
Zn 0.871 0.168 0.500
Zn 0.871 0.832 0.000
Ag 0.124 0.208 0.500
Ag 0.124 0.792 0.000
Ag 0.125 0.298 0.500
Ag 0.125 0.343 0.000
Ag 0.125 0.388 0.500
Ag 0.125 0.433 0.000
Ag 0.125 0.478 0.500
Ag 0.125 0.522 0.000
Ag 0.125 0.567 0.500
Ag 0.125 0.612 0.000
Ag 0.125 0.657 0.500
Ag 0.125 0.702 0.000
Ag 0.126 0.253 0.000
Ag 0.126 0.747 0.500
Ag 0.367 0.163 0.500
Ag 0.367 0.837 0.000
Ag 0.375 0.253 0.500
Ag 0.375 0.298 0.000
Ag 0.375 0.343 0.500
Ag 0.375 0.388 0.000
Ag 0.375 0.433 0.500
Ag 0.375 0.478 0.000
Ag 0.375 0.522 0.500
Ag 0.375 0.567 0.000
Ag 0.375 0.612 0.500
Ag 0.375 0.657 0.000
Ag 0.375 0.702 0.500
Ag 0.375 0.747 0.000
Ag 0.377 0.207 0.000
Ag 0.377 0.793 0.500
Ag 0.623 0.207 0.500
Ag 0.623 0.793 0.000
Ag 0.625 0.253 0.000
Ag 0.625 0.298 0.500
Ag 0.625 0.343 0.000
Ag 0.625 0.388 0.500
Ag 0.625 0.433 0.000
Ag 0.625 0.478 0.500
Ag 0.625 0.522 0.000
Ag 0.625 0.567 0.500
Ag 0.625 0.612 0.000
Ag 0.625 0.657 0.500
Ag 0.625 0.702 0.000
Ag 0.625 0.747 0.500
Ag 0.633 0.163 0.000
Ag 0.633 0.837 0.500
Ag 0.874 0.253 0.500
Ag 0.874 0.747 0.000
Ag 0.875 0.298 0.000
Ag 0.875 0.343 0.500
Ag 0.875 0.388 0.000
Ag 0.875 0.433 0.500
Ag 0.875 0.478 0.000
Ag 0.875 0.522 0.500
Ag 0.875 0.567 0.000
Ag 0.875 0.612 0.500
Ag 0.875 0.657 0.000
Ag 0.875 0.702 0.500
Ag 0.876 0.208 0.000
Ag 0.876 0.792 0.500



(4)
A relaxed structure of Nd2CuPd. Source: OQMD via LeMat-Bulk, functional GGA-PBE.

electronic total energy	-0.18760	hartree per atom
formation energy from the elements	-2.00	eV/f.u.

Lattice parameters (Å, degrees): 4.600 5.775 5.775 39.44 90.00 90.00
Atoms (fractional coordinates):
Nd 0.000 0.000 0.000
Nd 0.500 0.275 0.275
Cu 0.000 0.714 0.714
Pd 0.500 0.562 0.562



(5)
A relaxed structure of CsCdInSe3. Source: OQMD via LeMat-Bulk, functional GGA-PBE.

electronic total energy	-0.12291	hartree per atom

Lattice parameters (Å, degrees): 8.430 8.430 23.339 95.17 95.17 90.02
Atoms (fractional coordinates):
Cs 0.107 0.731 0.924
Cs 0.269 0.395 0.576
Cs 0.269 0.893 0.576
Cs 0.395 0.269 0.076
Cs 0.605 0.731 0.924
Cs 0.731 0.107 0.424
Cs 0.731 0.605 0.424
Cs 0.893 0.269 0.076
Cd 0.060 0.940 0.750
Cd 0.061 0.435 0.750
Cd 0.435 0.061 0.250
Cd 0.436 0.564 0.250
Cd 0.564 0.436 0.750
Cd 0.565 0.939 0.750
Cd 0.939 0.565 0.250
Cd 0.940 0.060 0.250
In 0.155 0.780 0.122
In 0.219 0.344 0.378
In 0.220 0.845 0.378
In 0.344 0.219 0.878
In 0.656 0.781 0.122
In 0.780 0.155 0.622
In 0.781 0.656 0.622
In 0.845 0.220 0.878
Se 0.063 0.170 0.678
Se 0.063 0.670 0.679
Se 0.112 0.237 0.947
Se 0.170 0.063 0.178
Se 0.170 0.526 0.179
Se 0.237 0.112 0.447
Se 0.237 0.611 0.447
Se 0.330 0.473 0.821
Se 0.330 0.937 0.821
Se 0.389 0.763 0.053
Se 0.473 0.330 0.321
Se 0.474 0.830 0.321
Se 0.526 0.170 0.679
Se 0.527 0.670 0.679
Se 0.611 0.237 0.947
Se 0.670 0.063 0.179
Se 0.670 0.527 0.179
Se 0.763 0.389 0.553
Se 0.763 0.888 0.553
Se 0.830 0.474 0.821
Se 0.830 0.937 0.822
Se 0.888 0.763 0.053
Se 0.937 0.330 0.321
Se 0.937 0.830 0.322



(6)
A relaxed structure of Gd2I. Source: OQMD via LeMat-Bulk, functional GGA-PBE.

E above lowest polymorph	1487.9	meV per atom
electronic total energy	-0.08190	hartree per atom

Lattice parameters (Å, degrees): 9.581 9.581 9.581 60.00 60.00 60.00
Atoms (fractional coordinates):
Gd 0.000 0.000 0.000
Gd 0.000 0.000 0.500
Gd 0.000 0.500 0.000
Gd 0.500 0.000 0.000
I 0.125 0.125 0.125
I 0.875 0.875 0.875



(7)
A relaxed structure of Fe2SnB. Source: OQMD via LeMat-Bulk, functional GGA-PBE.

E above lowest polymorph	31.3	meV per atom
electronic total energy	-0.23549	hartree per atom

Lattice parameters (Å, degrees): 5.712 5.712 5.712 90.00 90.00 90.00
Atoms (fractional coordinates):
Fe 0.214 0.214 0.214
Fe 0.214 0.214 0.786
Fe 0.214 0.786 0.214
Fe 0.214 0.786 0.786
Fe 0.786 0.214 0.214
Fe 0.786 0.214 0.786
Fe 0.786 0.786 0.214
Fe 0.786 0.786 0.786
Sn 0.000 0.500 0.500
Sn 0.500 0.000 0.500
Sn 0.500 0.500 0.000
Sn 0.500 0.500 0.500
B 0.000 0.000 0.000
B 0.000 0.000 0.500
B 0.000 0.500 0.000
B 0.500 0.000 0.000